Computed, not measured: a relaxed ZrTlCoTc crystal at the GGA-PBE level of DFT.

Cell and atoms, written as POSCAR:
```
ZrTlCoTc
1.0
-2.489 1.312 3.602
-0.821 4.439 0.716
-4.208 1.675 -0.618
Tc Tl Co Zr
1 1 1 1
Cartesian
-1.880 1.857 0.925
0.000 0.000 0.000
-5.639 5.570 2.776
-3.759 3.713 1.851
```

Output
The value obtained for the offset from the most stable computed form is 0.00 eV/f.u. Its mass density is 11126 kg/m³. Its raw total energy is -6.91 eV per atom.



Computed, not measured: a relaxed NdPdNO crystal at the GGA-PBE level of DFT.

Cell and atoms, written as POSCAR:
```
NdPdNO
1.0
1.998 3.074 1.838
-1.326 -1.620 4.151
5.715 -3.897 0.305
N O Nd Pd
2 2 2 2
Cartesian
3.296 -3.216 1.796
0.739 -2.734 3.771
1.176 0.267 2.851
4.666 -3.375 5.148
0.827 -0.771 4.965
5.001 -2.355 3.077
2.238 -3.935 4.149
1.609 -2.244 2.004
```

Output
The value obtained for the offset from the most stable computed form is 0.96 eV/f.u. Its mass density is 7061 kg/m³. Its raw total energy is -6.85 eV per atom.